Entry 1:
{
  "formula": "TaBF3",
  "functional": "PBE",
  "state": "relaxed",
  "lattice_angstrom": [[-0.004, -3.079, -2.492], [3.490, -1.181, 1.454], [-1.874, -2.194, 2.714]],
  "species": ["F", "F", "F", "B", "Ta"],
  "frac_coords": [[0.000, 0.500, 0.000], [0.000, 0.000, 0.500], [0.500, 0.000, 0.000], [0.000, 0.000, 0.000], [0.500, 0.500, 0.500]],
  "crystal_system": "cubic",
  "formation_energy_uncorrected_mev_per_atom": 181.3,
  "dos_at_fermi_per_ev_cell": 4.9,
  "polymorph_energy_ev_per_fu": 4.800
}

Entry 2:
{
  "formula": "TaB3F",
  "functional": "PBE",
  "state": "relaxed",
  "lattice_angstrom": [[-1.849, -0.579, 3.090], [0.626, -3.581, -0.297], [3.081, 0.380, 1.915]],
  "species": ["B", "B", "B", "F", "Ta"],
  "frac_coords": [[0.000, 0.500, 0.000], [0.000, 0.000, 0.500], [0.500, 0.000, 0.000], [0.000, 0.000, 0.000], [0.500, 0.500, 0.500]],
  "crystal_system": "cubic",
  "formation_energy_uncorrected_mev_per_atom": 1028.9,
  "dos_at_fermi_per_ev_cell": 1.2,
  "polymorph_energy_ev_per_fu": 0.000
}

Entry 3:
{
  "formula": "TaB2F2",
  "functional": "PBE",
  "state": "relaxed",
  "lattice_angstrom": [[-1.772, -3.650, -5.869], [6.892, -1.387, -1.219], [-0.179, -2.069, 1.341]],
  "species": ["B", "B", "B", "B", "F", "F", "F", "F", "Ta", "Ta"],
  "frac_coords": [[0.213, 0.713, 0.000], [0.713, 0.787, 0.000], [0.787, 0.287, 0.000], [0.287, 0.213, 0.000], [0.112, 0.612, 0.500], [0.612, 0.888, 0.500], [0.888, 0.388, 0.500], [0.388, 0.112, 0.500], [0.000, 0.000, 0.000], [0.500, 0.500, 0.000]],
  "crystal_system": "tetragonal",
  "formation_energy_uncorrected_mev_per_atom": 223.0,
  "dos_at_fermi_per_ev_cell": 4.1,
  "polymorph_energy_ev_per_fu": 0.712
}

Entry 4:
{
  "formula": "Ta3BF",
  "functional": "PBE",
  "state": "relaxed",
  "lattice_angstrom": [[-0.951, -3.058, 2.961], [1.790, -3.040, -2.565], [3.862, 0.656, 1.918]],
  "species": ["B", "F", "Ta", "Ta", "Ta"],
  "frac_coords": [[0.000, 0.000, 0.000], [0.500, 0.500, 0.500], [0.000, 0.500, 0.000], [0.000, 0.000, 0.500], [0.500, 0.000, 0.000]],
  "crystal_system": "cubic",
  "formation_energy_uncorrected_mev_per_atom": 464.8,
  "dos_at_fermi_per_ev_cell": 6.7,
  "polymorph_energy_ev_per_fu": 0.000
}

Repeat the third record exactly.
{
  "formula": "TaB2F2",
  "functional": "PBE",
  "state": "relaxed",
  "lattice_angstrom": [[-1.772, -3.650, -5.869], [6.892, -1.387, -1.219], [-0.179, -2.069, 1.341]],
  "species": ["B", "B", "B", "B", "F", "F", "F", "F", "Ta", "Ta"],
  "frac_coords": [[0.213, 0.713, 0.000], [0.713, 0.787, 0.000], [0.787, 0.287, 0.000], [0.287, 0.213, 0.000], [0.112, 0.612, 0.500], [0.612, 0.888, 0.500], [0.888, 0.388, 0.500], [0.388, 0.112, 0.500], [0.000, 0.000, 0.000], [0.500, 0.500, 0.000]],
  "crystal_system": "tetragonal",
  "formation_energy_uncorrected_mev_per_atom": 223.0,
  "dos_at_fermi_per_ev_cell": 4.1,
  "polymorph_energy_ev_per_fu": 0.712
}

Please write out number 4 again, unchanged.
{
  "formula": "Ta3BF",
  "functional": "PBE",
  "state": "relaxed",
  "lattice_angstrom": [[-0.951, -3.058, 2.961], [1.790, -3.040, -2.565], [3.862, 0.656, 1.918]],
  "species": ["B", "F", "Ta", "Ta", "Ta"],
  "frac_coords": [[0.000, 0.000, 0.000], [0.500, 0.500, 0.500], [0.000, 0.500, 0.000], [0.000, 0.000, 0.500], [0.500, 0.000, 0.000]],
  "crystal_system": "cubic",
  "formation_energy_uncorrected_mev_per_atom": 464.8,
  "dos_at_fermi_per_ev_cell": 6.7,
  "polymorph_energy_ev_per_fu": 0.000
}